Entry from Alexandria: a relaxed structure of Cs2Rb9Na3 (GGA-PBE).

Cell lengths 22.600, 12.936, 17.388 Å; angles 90.00, 115.49, 90.00 degrees
Space group C2/c (No. 15)
Inequivalent atoms, fractional coordinates:
Cs (0.170, 0.084, 0.250)
Rb (0.000, 0.354, 0.250)
Rb (0.057, 0.068, 0.922)
Rb (0.103, 0.411, 0.047)
Rb (0.114, 0.306, 0.747)
Rb (0.231, 0.409, 0.423)
Na (0.086, 0.245, 0.499)
Na (0.250, 0.250, 0.000)

Computed properties:
crystal system	monoclinic
E_tot	-1.00	eV per atom
energy of formation	25	meV per atom
theoretical density	1.60	g/cm³